[1]
Computed, not measured: a relaxed YTm2Cd crystal at the PBE level of DFT.

- Space group: R3m, No. 160
- ΔE_f: -0.07 eV/atom
- Spin magnetization: 0.797 μB per cell
- ρ: 7.604 g/cm3
- Excess energy over the best structure of this formula in the dataset: 0.092 eV per atom

```
4
Lattice="-0.588 -3.518 0.307 1.202 -1.773 2.869 -8.922 0.200 6.097" Properties=species:S:1:pos:R:3 pbc="T T T"
Y -4.153 -2.546 4.636
Cd 0.405 -3.526 2.119
Tm -6.805 -0.256 4.929
Tm -1.909 -1.309 2.225
```

---

[2]
Computed, not measured: a relaxed Ba2Hg3BiAu4 crystal at the PBE level of DFT.

- Space group: P-4m2, No. 115
- ΔE_f: -0.43 eV/atom
- Spin magnetization: 0.000 μB per cell
- ρ: 10.977 g/cm3

```
10
Lattice="-1.727 1.550 4.407 2.010 -3.995 2.193 9.672 5.821 1.743" Properties=species:S:1:pos:R:3 pbc="T T T"
Ba 1.431 2.156 2.617
Ba 8.382 2.443 2.426
Bi 4.977 1.688 4.171
Hg 2.196 -1.281 1.311
Au 0.141 -1.223 3.300
Au 4.529 0.123 1.731
Hg 7.617 5.879 3.732
Hg 4.836 2.911 0.871
Au 0.000 0.000 0.000
Au 5.284 4.475 3.311
```